K2Rb4TlBi2: optimized geometry, GGA-PBE.

Output
Total energy   -1.995 eV per atom
SG   C2/m (12)
ΔE_f   -1.76 eV per formula unit

Cell lengths 5.8173, 9.9244, 9.9244 Å; angles 66.30, 73.43, 73.43 degrees
Closest atoms and distances in Å follow each position.
Positions (direct):
1 Tl 0.5000 0.0000 0.0000  2 Bi 3.35
2 Rb 0.1438 0.6558 0.0630  3 Bi 3.83-3.94, 1 K 4.08, 1 Tl 4.24
3 Rb 0.8562 0.9370 0.3442  3 Bi 3.83-3.94, 1 K 4.08, 1 Tl 4.24
4 Bi 0.2857 0.2141 0.2141  1 Tl 3.35, 2 K 3.69-3.70
5 Rb 0.1438 0.0630 0.6558  3 Bi 3.83-3.94, 1 K 4.08, 1 Tl 4.24
6 Bi 0.7143 0.7859 0.7859  1 Tl 3.35, 2 K 3.69-3.70
7 K 0.3555 0.6401 0.6401  2 Bi 3.69-3.70, 2 Rb 4.08
8 Rb 0.8562 0.3442 0.9370  3 Bi 3.83-3.94, 1 K 4.08, 1 Tl 4.24
9 K 0.6444 0.3599 0.3599  2 Bi 3.69-3.70, 2 Rb 4.08

***

NaLa4H10: optimized geometry, GGA-PBE.

Output
Total energy   -4.145 eV per atom
SG   R-3m (166)

Cell lengths 3.9912, 3.9912, 16.5006 Å; angles 83.05, 83.05, 60.00 degrees
Closest atoms and distances in Å follow each position.
Positions (direct):
1 H 0.5487 0.5487 0.3538  4 La 2.42-2.52
2 H 0.0539 0.0539 0.8382  3 La 2.39, 1 Na 2.64
3 H 0.1502 0.1502 0.5494  4 La 2.45
4 H 0.2497 0.2497 0.2508  4 La 2.43-2.45
5 H 0.6459 0.6459 0.0622  1 La 2.25
6 La 0.6001 0.6001 0.1998  8 H 2.25-2.52
7 H 0.4513 0.4513 0.6462  4 La 2.42-2.52
8 La 0.3999 0.3999 0.8002  8 H 2.25-2.52
9 H 0.8498 0.8498 0.4506  4 La 2.45
10 La 0.2002 0.2002 0.3993  8 H 2.42-2.45
11 H 0.9461 0.9461 0.1618  3 La 2.39, 1 Na 2.64
12 Na 0.0000 0.0000 0.0000  8 H 2.52-2.64
13 H 0.7503 0.7503 0.7492  4 La 2.43-2.45
14 La 0.7998 0.7998 0.6007  8 H 2.42-2.45
15 H 0.3541 0.3541 0.9378  1 La 2.25

***

CsErIrO6: optimized geometry, GGA-PBE.

Output
Total energy   -6.374 eV per atom
SG   P312 (149)
ΔE_f (raw)   -1482.1 meV per atom

Cell lengths 5.6205, 5.6207, 6.5998 Å; angles 90.01, 90.00, 59.99 degrees
Closest atoms and distances in Å follow each position.
Positions (direct):
1 O 0.3641 0.0436 0.6662  1 Ir 1.90
2 Cs 0.9999 0.0000 0.0000  6 O 3.10
3 O 0.0436 0.3642 0.3338  1 Ir 1.90
4 O 0.5922 0.3643 0.6662  1 Ir 1.90
5 O 0.5923 0.0434 0.3338  1 Ir 1.90
6 Ir 0.3333 0.3333 0.5000  6 O 1.90
7 O 0.3642 0.5922 0.3338  1 Ir 1.90
8 O 0.0435 0.5923 0.6662  1 Ir 1.90
9 Er 0.6666 0.6667 0.5000  6 O 2.23

***

HoPaHgPt: optimized geometry, GGA-PBE.

Output
Total energy   -5.563 eV per atom
SG   F-43m (216)
ΔE_f   -1.83 eV per formula unit

Cell lengths 5.0933, 5.0933, 5.0933 Å; angles 60.00, 60.00, 60.00 degrees
Closest atoms and distances in Å follow each position.
Positions (direct):
1 Hg 0.0000 0.0000 0.0000  4 Ho 3.12, 4 Pa 3.12
2 Ho 0.7500 0.7500 0.7500  4 Pt 3.12, 4 Hg 3.12
3 Pa 0.2500 0.2500 0.2500  4 Hg 3.12, 4 Pt 3.12
4 Pt 0.5000 0.5000 0.5000  4 Pa 3.12, 4 Ho 3.12

***

LaIn5I8: optimized geometry, GGA-PBE.

Output
Total energy   -2.956 eV per atom
SG   I-4 (82)
ΔE_f (raw)   -739.9 meV per atom

Cell lengths 9.0383, 9.0383, 9.0383 Å; angles 110.04, 110.04, 108.34 degrees
Closest atoms and distances in Å follow each position.
Positions (direct):
1 La 0.2500 0.7500 0.5000  8 I 3.27-3.46
2 I 0.1528 0.5453 0.7409  3 In 3.39-3.57, 1 La 3.46
3 I 0.2475 0.3795 0.2700  1 La 3.27, 2 In 3.38-3.52
4 I 0.0225 0.7525 0.1320  1 La 3.27, 2 In 3.38-3.52
5 I 0.4547 0.1956 0.6074  3 In 3.39-3.57, 1 La 3.46
6 In 0.7349 0.6109 0.6021  5 I 3.38-3.69
7 In 0.8672 0.2651 0.8760  5 I 3.38-3.69
8 In 0.0088 0.1328 0.3979  5 I 3.38-3.69
9 I 0.5881 0.8472 0.3926  3 In 3.39-3.57, 1 La 3.46
10 I 0.8044 0.4119 0.2591  3 In 3.39-3.57, 1 La 3.46
11 I 0.1095 0.9775 0.7300  1 La 3.27, 2 In 3.38-3.52
12 In 0.3891 0.9912 0.1240  5 I 3.38-3.69
13 In 0.5000 0.5000 0.0000  4 I 3.45
14 I 0.6205 0.8905 0.8680  1 La 3.27, 2 In 3.38-3.52

***

Pr3Ho2Tm6Zr: optimized geometry, GGA-PBE.

Output
Total energy   -4.858 eV per atom
SG   C2/m (12)
ΔE_f   0.57 eV per formula unit

Cell lengths 6.1120, 6.1120, 11.5941 Å; angles 95.04, 95.04, 119.96 degrees
Closest atoms and distances in Å follow each position.
Positions (direct):
1 Pr 0.8342 0.1658 0.5000  6 Pr 3.51-3.54, 6 Tm 3.58-3.63
2 Tm 0.4059 0.0797 0.2405  1 Zr 3.39, 2 Ho 3.43, 6 Tm 3.45-3.57, 3 Pr 3.58-3.63
3 Pr 0.5000 0.5000 0.5000  6 Pr 3.53-3.54, 6 Tm 3.58-3.62
4 Pr 0.1658 0.8342 0.5000  6 Pr 3.51-3.54, 6 Tm 3.58-3.63
5 Tm 0.7538 0.7538 0.2402  1 Zr 3.39, 2 Ho 3.43, 6 Tm 3.45-3.57, 3 Pr 3.58-3.62
6 Zr 0.0000 0.0000 0.0000  6 Tm 3.39, 6 Ho 3.53
7 Tm 0.5941 0.9203 0.7595  1 Zr 3.39, 2 Ho 3.43, 6 Tm 3.45-3.57, 3 Pr 3.58-3.63
8 Ho 0.3333 0.6667 0.0000  6 Tm 3.43, 3 Zr 3.53, 3 Ho 3.53
9 Tm 0.0797 0.4059 0.2405  1 Zr 3.39, 2 Ho 3.43, 6 Tm 3.45-3.57, 3 Pr 3.58-3.63
10 Tm 0.9203 0.5941 0.7595  1 Zr 3.39, 2 Ho 3.43, 6 Tm 3.45-3.57, 3 Pr 3.58-3.63
11 Tm 0.2462 0.2462 0.7598  1 Zr 3.39, 2 Ho 3.43, 6 Tm 3.45-3.57, 3 Pr 3.58-3.62
12 Ho 0.6667 0.3333 0.0000  6 Tm 3.43, 3 Zr 3.53, 3 Ho 3.53